[1]
An optimized crystal structure of LaCe2Zn2Ge2. Source: Alexandria, functional PBE.

The structure in POSCAR format:
```
LaCe2Zn2Ge2
1.0
2.1690 1.2523 9.5392
-2.1690 1.2523 9.5392
0.0000 -2.5045 9.5392
La Ce Zn Ge
1 2 2 2
Direct
0.0000 0.0000 0.0000
0.1430 0.1430 0.1430
0.8570 0.8570 0.8570
0.4108 0.4108 0.4108
0.5892 0.5892 0.5892
0.2620 0.2620 0.2620
0.7380 0.7380 0.7380
```

Energy of formation from the pure elements in meV/atom: -452
Total magnetic moment in μB per formula unit: 2.07

---

[2]
An optimized crystal structure of LaCeZnGe. Source: Alexandria, functional PBE.

The structure in POSCAR format:
```
LaCeZnGe
1.0
0.0000 3.6885 3.6885
3.6885 0.0000 3.6885
3.6885 3.6885 0.0000
La Ce Zn Ge
1 1 1 1
Direct
0.0000 0.0000 0.0000
0.5000 0.5000 0.5000
0.7500 0.7500 0.7500
0.2500 0.2500 0.2500
```

Energy of formation from the pure elements in meV/atom: -468
Total magnetic moment in μB per formula unit: 0.81